No. 1
Crystalline Nd2TeC at its relaxed geometry, computed with PBE.

Cell: 3.9707 3.9707 7.7245 Å, 75.11 75.11 60.00°
Fractional coordinates of all 4 atoms:
Nd1 0.0633 0.0633 0.8100
Nd2 0.2696 0.2696 0.1911
Te1 0.4996 0.4996 0.5011
C1 0.6674 0.6674 0.9978

Values from the calculation:
Energy relative to the elements, uncorrected   -2.9 eV per formula unit
Energy   -6.20 eV/atom
Density of states at the Fermi level   0.664 states/eV/cell
SG   R3m, No. 160

***

No. 2
Crystalline Nd6TeC3 at its relaxed geometry, computed with PBE.

Cell: 3.8083 11.7012 11.6203 Å, 107.88 90.00 90.00°
Fractional coordinates of all 20 atoms:
Nd1 0.7500 0.1875 0.5708
Nd2 0.2500 0.8125 0.4292
Nd3 0.7500 0.1332 0.0539
Nd4 0.2500 0.8668 0.9461
Nd5 0.7500 0.7550 0.6652
Nd6 0.2500 0.2450 0.3348
Nd7 0.7500 0.5343 0.3748
Nd8 0.2500 0.4657 0.6252
Nd9 0.7500 0.3494 0.8726
Nd10 0.2500 0.6506 0.1274
Nd11 0.7500 0.9518 0.2419
Nd12 0.2500 0.0482 0.7581
Te1 0.7500 0.6182 0.8731
Te2 0.2500 0.3818 0.1269
C1 0.7500 0.3518 0.4738
C2 0.2500 0.6482 0.5262
C3 0.7500 0.7384 0.2731
C4 0.2500 0.2616 0.7269
C5 0.7500 0.9632 0.8572
C6 0.2500 0.0368 0.1428

Values from the calculation:
Energy relative to the elements, uncorrected   -3.4 eV per formula unit
Energy   -6.29 eV/atom
Density of states at the Fermi level   13.886 states/eV/cell
SG   P2_1/m, No. 11

***

No. 3
Crystalline Nd2TeC at its relaxed geometry, computed with PBE.

Cell: 3.9975 3.9975 7.6390 Å, 89.99 105.18 120.01°
Fractional coordinates of all 4 atoms:
Nd1 0.5382 0.2692 0.8074
Nd2 0.4618 0.7308 0.1926
Te1 0.0000 0.5000 0.5000
C1 0.0000 0.0000 0.0000

Values from the calculation:
Energy relative to the elements, uncorrected   -3.0 eV per formula unit
Energy   -6.22 eV/atom
Density of states at the Fermi level   0.941 states/eV/cell
SG   R-3m, No. 166

***

No. 4
Crystalline Nd5Te4C at its relaxed geometry, computed with PBE.

Cell: 6.2396 7.5917 7.5917 Å, 80.28 65.74 65.74°
Fractional coordinates of all 10 atoms:
Nd1 0.9115 0.3405 0.8425
Nd2 0.2520 0.8425 0.6595
Nd3 0.7540 0.1575 0.3405
Nd4 0.0945 0.6595 0.1575
Nd5 0.4571 0.0000 0.0000
Te1 0.4149 0.3959 0.7769
Te2 0.8108 0.7769 0.6041
Te3 0.1918 0.2231 0.3959
Te4 0.5877 0.6041 0.2231
C1 0.0359 0.0000 0.0000

Values from the calculation:
Energy relative to the elements, uncorrected   -11.6 eV per formula unit
Energy   -5.72 eV/atom
Density of states at the Fermi level   6.425 states/eV/cell
SG   I4, No. 79

***

No. 5
Crystalline Nd5Te2C at its relaxed geometry, computed with PBE.

Cell: 5.8744 6.6344 14.6308 Å, 90.00 90.00 116.28°
Fractional coordinates of all 16 atoms:
Nd1 0.9321 0.8643 0.8648
Nd2 0.9321 0.8643 0.6352
Nd3 0.3686 0.7372 0.3723
Nd4 0.3686 0.7372 0.1277
Nd5 0.7096 0.4192 0.2500
Nd6 0.2904 0.5808 0.7500
Nd7 0.6314 0.2628 0.6277
Nd8 0.6314 0.2628 0.8723
Nd9 0.0679 0.1357 0.1352
Nd10 0.0679 0.1357 0.3648
Te1 0.8141 0.6283 0.4452
Te2 0.8141 0.6283 0.0548
Te3 0.1859 0.3717 0.5548
Te4 0.1859 0.3717 0.9452
C1 0.7739 0.5478 0.7500
C2 0.2261 0.4522 0.2500

Values from the calculation:
Energy relative to the elements, uncorrected   -4.6 eV per formula unit
Energy   -5.49 eV/atom
Density of states at the Fermi level   15.355 states/eV/cell
SG   Cmcm, No. 63

***

No. 6
Crystalline NdThTeC at its relaxed geometry, computed with PBE.

Cell: 3.9641 3.9643 7.7370 Å, 90.00 104.84 120.00°
Last column: magnetic moment on the atom in μB.
Fractional coordinates of all 4 atoms:
Nd1 0.5058 0.1509 0.6719  0.10
Th1 0.0903 0.9431 0.0487  0.06
Te1 0.9664 0.3812 0.3628  0.00
C1 0.3154 0.5556 0.8863  -0.02

Values from the calculation:
Energy relative to the elements, uncorrected   -3.2 eV per formula unit
Energy   -6.94 eV/atom
Density of states at the Fermi level   2.674 states/eV/cell
SG   R3m, No. 160

***

No. 7
Crystalline Nd4TlTeC at its relaxed geometry, computed with PBE.

Cell: 7.1142 7.1243 8.8731 Å, 90.00 113.63 90.00°
Fractional coordinates of all 14 atoms:
Nd1 0.9115 0.2500 0.8229
Nd2 0.4078 0.7500 0.8156
Nd3 0.0885 0.7500 0.1771
Nd4 0.5922 0.2500 0.1844
Nd5 0.5000 0.5000 0.5000
Nd6 0.0000 0.0000 0.5000
Nd7 0.5000 0.0000 0.5000
Nd8 0.0000 0.5000 0.5000
Tl1 0.1116 0.2500 0.2232
Tl2 0.8884 0.7500 0.7768
Te1 0.6109 0.7500 0.2219
Te2 0.3891 0.2500 0.7781
C1 0.2477 0.7500 0.4954
C2 0.7523 0.2500 0.5046

Values from the calculation:
Energy relative to the elements, uncorrected   -3.8 eV per formula unit
Energy   -5.37 eV/atom
Density of states at the Fermi level   9.290 states/eV/cell
SG   Cmcm, No. 63

***

No. 8
Crystalline NdThC4 at its relaxed geometry, computed with PBE.

Cell: 3.8151 3.8149 6.4329 Å, 90.17 90.00 90.00°
Fractional coordinates of all 6 atoms:
Nd1 0.5000 0.5000 0.5000
Th1 0.0000 0.0000 0.0000
C1 0.0000 0.9998 0.6015
C2 0.5000 0.5004 0.8972
C3 0.5000 0.4996 0.1028
C4 0.0000 0.0002 0.3985

Values from the calculation:
Energy   -8.34 eV/atom
Density of states at the Fermi level   2.907 states/eV/cell
SG   P2/m, No. 10
Energy relative to the elements   -156 meV/atom

***

No. 9
Crystalline NdTh2C at its relaxed geometry, computed with PBE.

Cell: 3.6716 3.6716 9.5806 Å, 89.97 101.08 120.00°
Fractional coordinates of all 4 atoms:
Nd1 0.6701 0.8349 0.5049
Th1 0.7691 0.3843 0.1534
Th2 0.2257 0.6130 0.8386
C1 0.0019 0.0010 0.0029

Values from the calculation:
Energy   -7.34 eV/atom
Energy above the most stable polymorph in this dataset   0.0 meV per atom
Density of states at the Fermi level   5.212 states/eV/cell
SG   R3m, No. 160
Energy relative to the elements   -137 meV/atom

***

No. 10
Crystalline NdTh2C2 at its relaxed geometry, computed with PBE.

Cell: 3.7024 3.7024 9.6076 Å, 78.89 78.89 60.00°
Last column: magnetic moment on the atom in μB.
Fractional coordinates of all 5 atoms:
Nd1 0.0000 0.0000 0.0000  0.01
Th1 0.2275 0.2275 0.3175  0.11
Th2 0.7725 0.7725 0.6825  0.11
C1 0.6052 0.6052 0.1845  -0.01
C2 0.3948 0.3948 0.8155  -0.01

Values from the calculation:
Energy   -7.81 eV/atom
Density of states at the Fermi level   3.542 states/eV/cell
SG   R-3m, No. 166
Energy relative to the elements   -201 meV/atom

***

No. 11
Crystalline NdTh4C4 at its relaxed geometry, computed with PBE.

Cell: 5.3280 6.5341 6.5335 Å, 80.42 65.94 65.94°
Fractional coordinates of all 9 atoms:
Nd1 0.0000 0.0000 0.0000
Th1 0.6047 0.5866 0.2039
Th2 0.3953 0.4134 0.7961
Th3 0.1913 0.2040 0.4133
Th4 0.8087 0.7960 0.5867
C1 0.9077 0.4026 0.7819
C2 0.0923 0.5974 0.2181
C3 0.3103 0.7818 0.5975
C4 0.6897 0.2182 0.4025

Values from the calculation:
Energy   -8.16 eV/atom
Density of states at the Fermi level   5.963 states/eV/cell
SG   I4/m, No. 87
Energy relative to the elements   -235 meV/atom

***

No. 12
Crystalline NdTh3C3 at its relaxed geometry, computed with PBE.

Cell: 5.3518 7.5153 7.5153 Å, 90.01 90.00 90.00°
Fractional coordinates of all 14 atoms:
Nd1 0.7500 0.3651 0.6349
Nd2 0.2500 0.6349 0.3651
Th1 0.2500 0.6302 0.8800
Th2 0.2500 0.1200 0.3698
Th3 0.2500 0.1203 0.8797
Th4 0.7500 0.3698 0.1200
Th5 0.7500 0.8800 0.6302
Th6 0.7500 0.8797 0.1203
C1 0.7500 0.6271 0.8806
C2 0.7500 0.1194 0.3729
C3 0.7500 0.1196 0.8804
C4 0.2500 0.3729 0.1194
C5 0.2500 0.8806 0.6271
C6 0.2500 0.8804 0.1196

Values from the calculation:
Energy   -8.03 eV/atom
Energy above the most stable polymorph in this dataset   0.0 meV per atom
Density of states at the Fermi level   10.065 states/eV/cell
SG   Cmcm, No. 63
Energy relative to the elements   -214 meV/atom

***

> Which formula does entry 4 have?

Nd5Te4C

***

> Which of these has the highest density of states at the Fermi level?

Nd5Te2C